# 1
VASP calculation (PBE) on a relaxed Ti4FeMo2 crystal.

Cell lengths 4.379, 4.379, 12.774 Å; angles 90.00, 90.00, 90.00 degrees
Sites, in units of the cell vectors:
Ti (0.000, 0.000, 0.188)
Ti (0.000, 0.000, 0.812)
Ti (0.000, 0.500, 0.000)
Ti (0.000, 0.500, 0.500)
Ti (0.500, 0.000, 0.000)
Ti (0.500, 0.000, 0.500)
Ti (0.500, 0.500, 0.312)
Ti (0.500, 0.500, 0.688)
Fe (0.000, 0.000, 0.000)
Fe (0.500, 0.500, 0.500)
Mo (0.000, 0.000, 0.373)
Mo (0.000, 0.000, 0.627)
Mo (0.500, 0.500, 0.127)
Mo (0.500, 0.500, 0.873)

Summary:
SG: I4/mmm
Fermi-level density of states (states/eV per atom): 1.331
Energy of formation from the pure elements (eV per atom): 0.595
Calculated volume (Å³/f.u.): 122.5

# 2
VASP calculation (PBE) on a relaxed PaIn2Pd crystal.

Cell lengths 3.145, 3.145, 32.497 Å; angles 90.00, 90.00, 120.00 degrees
Sites, in units of the cell vectors:
Pa (0.000, 0.000, 0.000)
Pa (0.333, 0.667, 0.667)
Pa (0.667, 0.333, 0.333)
In (0.000, 0.000, 0.099)
In (0.000, 0.000, 0.901)
In (0.333, 0.667, 0.567)
In (0.333, 0.667, 0.766)
In (0.667, 0.333, 0.234)
In (0.667, 0.333, 0.433)
Pd (0.000, 0.000, 0.500)
Pd (0.333, 0.667, 0.167)
Pd (0.667, 0.333, 0.833)

Summary:
SG: R-3m
Fermi-level density of states (states/eV per atom): 1.220
Energy of formation from the pure elements (eV per atom): 0.041
Calculated volume (Å³/f.u.): 92.8

# 3
VASP calculation (PBE) on a relaxed Dy3Tm4Mg crystal.

Cell lengths 25.266, 3.356, 5.806 Å; angles 90.00, 95.73, 90.00 degrees
Sites, in units of the cell vectors:
Dy (0.000, 0.000, 0.000)
Dy (0.150, 0.000, 0.216)
Dy (0.350, 0.500, 0.784)
Dy (0.500, 0.500, 0.000)
Dy (0.650, 0.500, 0.216)
Dy (0.850, 0.000, 0.784)
Tm (0.102, 0.000, 0.696)
Tm (0.218, 0.500, 0.738)
Tm (0.282, 0.000, 0.262)
Tm (0.398, 0.500, 0.304)
Tm (0.602, 0.500, 0.696)
Tm (0.718, 0.000, 0.738)
Tm (0.782, 0.500, 0.262)
Tm (0.898, 0.000, 0.304)
Mg (0.000, 0.500, 0.500)
Mg (0.500, 0.000, 0.500)

Summary:
SG: C2/m
Fermi-level density of states (states/eV per atom): 1.534
Energy of formation from the pure elements (eV per atom): 0.228
Calculated volume (Å³/f.u.): 244.9

# 4
VASP calculation (PBE) on a relaxed BaTl2TeSe4 crystal.

Cell lengths 9.080, 9.080, 9.080 Å; angles 122.11, 118.72, 89.31 degrees
Sites, in units of the cell vectors:
Ba (0.000, 0.000, 0.000)
Ba (0.500, 0.000, 0.500)
Tl (0.000, 0.500, 0.500)
Tl (0.500, 0.000, 0.000)
Tl (0.500, 0.500, 0.000)
Tl (0.500, 0.500, 0.500)
Te (0.000, 0.000, 0.500)
Te (0.000, 0.500, 0.000)
Se (0.211, 0.250, 0.961)
Se (0.211, 0.750, 0.461)
Se (0.219, 0.221, 0.501)
Se (0.219, 0.718, 0.999)
Se (0.781, 0.282, 0.001)
Se (0.781, 0.779, 0.499)
Se (0.789, 0.250, 0.539)
Se (0.789, 0.750, 0.039)

Summary:
E_form (uncorrected) (meV/atom): -606
SG: Imma
Fermi-level density of states (states/eV per atom): 0.244
Calculated volume (Å³/f.u.): 262.7

# 5
VASP calculation (PBE) on a relaxed NaNb2SiB crystal.

Cell lengths 4.833, 4.833, 3.845 Å; angles 90.00, 90.00, 90.00 degrees
Sites, in units of the cell vectors:
Na (0.000, 0.000, 0.000)
Nb (0.000, 0.500, 0.500)
Nb (0.500, 0.000, 0.500)
Si (0.500, 0.500, 0.500)
B (0.500, 0.500, 0.000)

Summary:
E_form (uncorrected) (meV/atom): 1136
SG: P4/mmm
Fermi-level density of states (states/eV per atom): 1.147
Calculated volume (Å³/f.u.): 89.8

# 6
VASP calculation (PBE) on a relaxed LaAg2Pt crystal.

Cell lengths 3.697, 3.697, 6.474 Å; angles 90.00, 90.00, 90.00 degrees
Sites, in units of the cell vectors:
La (0.000, 0.000, 0.000)
Ag (0.000, 0.000, 0.484)
Ag (0.500, 0.500, 0.666)
Pt (0.500, 0.500, 0.228)

Summary:
SG: P4mm
Fermi-level density of states (states/eV per atom): 0.490
Energy of formation from the pure elements (eV per atom): -0.403
Calculated volume (Å³/f.u.): 88.5

# 7
VASP calculation (PBE) on a relaxed Tc2RhSe crystal.

Cell lengths 2.995, 4.425, 8.868 Å; angles 90.00, 90.00, 90.00 degrees
Sites, in units of the cell vectors:
Tc (0.000, 0.000, 0.000)
Tc (0.000, 0.500, 0.230)
Tc (0.500, 0.000, 0.730)
Tc (0.500, 0.500, 0.500)
Rh (0.000, 0.500, 0.776)
Rh (0.500, 0.000, 0.276)
Se (0.000, 0.000, 0.504)
Se (0.500, 0.500, 0.004)

Summary:
E_form (uncorrected) (meV/atom): 154
SG: Imm2
Fermi-level density of states (states/eV per atom): 0.863
Calculated volume (Å³/f.u.): 58.8

# 8
VASP calculation (PBE) on a relaxed MnTeBr crystal.

Cell lengths 6.870, 6.870, 6.870 Å; angles 90.00, 90.00, 90.00 degrees
Sites, in units of the cell vectors:
Mn (0.000, 0.000, 0.000)
Mn (0.000, 0.500, 0.500)
Mn (0.500, 0.000, 0.500)
Mn (0.500, 0.500, 0.000)
Te (0.250, 0.250, 0.250)
Te (0.250, 0.750, 0.750)
Te (0.750, 0.250, 0.750)
Te (0.750, 0.750, 0.250)
Br (0.250, 0.250, 0.750)
Br (0.250, 0.750, 0.250)
Br (0.750, 0.250, 0.250)
Br (0.750, 0.750, 0.750)

Summary:
E_form (uncorrected) (meV/atom): 45
SG: F-43m
Fermi-level density of states (states/eV per atom): 0.860
Calculated volume (Å³/f.u.): 81.0